Run a
# Ce2Th3 | Alexandria | PBE | relaxed
data_Ce2Th3
_symmetry_space_group_name_H-M 'P 1'
_symmetry_Int_Tables_number 1
_symmetry_space_group_name_Hall 'P 1'
_cell_length_a 14.3414
_cell_length_b 14.3414
_cell_length_c 14.3414
_cell_angle_alpha 14.03
_cell_angle_beta 14.03
_cell_angle_gamma 14.03
loop_
_atom_site_label
_atom_site_type_symbol
_atom_site_fract_x
_atom_site_fract_y
_atom_site_fract_z
Ce1 Ce 0.1006 0.1006 0.1006
Ce2 Ce 0.8994 0.8994 0.8994
Th1 Th 0.2994 0.2994 0.2994
Th2 Th 0.5000 0.5000 0.5000
Th3 Th 0.7006 0.7006 0.7006
# total moment = 0.0 μB/cell
# DOS at the Fermi energy = 9.34 states/eV/f.u.

---

Run b
# Ce2Th3 | Alexandria | PBE | relaxed
data_Ce2Th3
_symmetry_space_group_name_H-M 'P 1'
_symmetry_Int_Tables_number 1
_symmetry_space_group_name_Hall 'P 1'
_cell_length_a 6.6917
_cell_length_b 6.6917
_cell_length_c 6.6917
_cell_angle_alpha 92.41
_cell_angle_beta 92.41
_cell_angle_gamma 92.41
loop_
_atom_site_label
_atom_site_type_symbol
_atom_site_fract_x
_atom_site_fract_y
_atom_site_fract_z
Ce1 Ce 0.1274 0.1274 0.1274
Ce2 Ce 0.3726 0.3726 0.3726
Ce3 Ce 0.6274 0.6274 0.6274
Ce4 Ce 0.8726 0.8726 0.8726
Th1 Th 0.0971 0.7500 0.4029
Th2 Th 0.2500 0.5971 0.9029
Th3 Th 0.4029 0.0971 0.7500
Th4 Th 0.5971 0.9029 0.2500
Th5 Th 0.7500 0.4029 0.0971
Th6 Th 0.9029 0.2500 0.5971
# total moment = 0.0 μB/cell
# DOS at the Fermi energy = 12.60 states/eV/f.u.

---

Order from most stable to least stable according to the calculation: run a, run b

---

Run a
# Ce4Th5 | Alexandria | PBE | relaxed
data_Ce4Th5
_symmetry_space_group_name_H-M 'P 1'
_symmetry_Int_Tables_number 1
_symmetry_space_group_name_Hall 'P 1'
_cell_length_a 7.7834
_cell_length_b 7.7834
_cell_length_c 7.7834
_cell_angle_alpha 95.77
_cell_angle_beta 95.77
_cell_angle_gamma 143.04
loop_
_atom_site_label
_atom_site_type_symbol
_atom_site_fract_x
_atom_site_fract_y
_atom_site_fract_z
Ce1 Ce 0.1662 0.1662 0.3323
Ce2 Ce 0.1662 0.8338 0.0000
Ce3 Ce 0.8338 0.1662 0.0000
Ce4 Ce 0.8338 0.8338 0.6677
Th1 Th 0.1679 0.5000 0.6679
Th2 Th 0.5000 0.1679 0.6679
Th3 Th 0.5000 0.5000 0.0000
Th4 Th 0.5000 0.8321 0.3321
Th5 Th 0.8321 0.5000 0.3321
# total moment = 0.0 μB/cell
# DOS at the Fermi energy = 17.09 states/eV/f.u.

---

Run b
# Ce4Th5 | Alexandria | PBE | relaxed
data_Ce4Th5
_symmetry_space_group_name_H-M 'P 1'
_symmetry_Int_Tables_number 1
_symmetry_space_group_name_Hall 'P 1'
_cell_length_a 8.9959
_cell_length_b 8.9959
_cell_length_c 8.9959
_cell_angle_alpha 92.13
_cell_angle_beta 92.13
_cell_angle_gamma 157.75
loop_
_atom_site_label
_atom_site_type_symbol
_atom_site_fract_x
_atom_site_fract_y
_atom_site_fract_z
Ce1 Ce 0.0000 0.3433 0.3433
Ce2 Ce 0.0000 0.6567 0.6567
Ce3 Ce 0.3433 0.0000 0.3433
Ce4 Ce 0.6567 0.0000 0.6567
Th1 Th 0.0000 0.0000 0.0000
Th2 Th 0.3328 0.3328 0.6657
Th3 Th 0.3328 0.6672 0.0000
Th4 Th 0.6672 0.3328 0.0000
Th5 Th 0.6672 0.6672 0.3343
# total moment = 0.0 μB/cell
# DOS at the Fermi energy = 23.63 states/eV/f.u.

---

Order from most stable to least stable according to the calculation: run a, run b

---

Run a
# Ce5Th4 | Alexandria | PBE | relaxed
data_Ce5Th4
_symmetry_space_group_name_H-M 'P 1'
_symmetry_Int_Tables_number 1
_symmetry_space_group_name_Hall 'P 1'
_cell_length_a 7.7258
_cell_length_b 7.7258
_cell_length_c 7.7258
_cell_angle_alpha 95.77
_cell_angle_beta 95.77
_cell_angle_gamma 143.04
loop_
_atom_site_label
_atom_site_type_symbol
_atom_site_fract_x
_atom_site_fract_y
_atom_site_fract_z
Ce1 Ce 0.0000 0.0000 0.0000
Ce2 Ce 0.0000 0.3351 0.3351
Ce3 Ce 0.0000 0.6649 0.6649
Ce4 Ce 0.3351 0.0000 0.3351
Ce5 Ce 0.6649 0.0000 0.6649
Th1 Th 0.3332 0.3332 0.6664
Th2 Th 0.3332 0.6668 0.0000
Th3 Th 0.6668 0.3332 0.0000
Th4 Th 0.6668 0.6668 0.3336
# total moment = 0.0 μB/cell
# DOS at the Fermi energy = 17.90 states/eV/f.u.

---

Run b
# Ce5Th4 | Alexandria | PBE | relaxed
data_Ce5Th4
_symmetry_space_group_name_H-M 'P 1'
_symmetry_Int_Tables_number 1
_symmetry_space_group_name_Hall 'P 1'
_cell_length_a 8.9364
_cell_length_b 8.9364
_cell_length_c 8.9364
_cell_angle_alpha 92.13
_cell_angle_beta 92.13
_cell_angle_gamma 157.78
loop_
_atom_site_label
_atom_site_type_symbol
_atom_site_fract_x
_atom_site_fract_y
_atom_site_fract_z
Ce1 Ce 0.0000 0.0000 0.0000
Ce2 Ce 0.3338 0.3338 0.6675
Ce3 Ce 0.3338 0.6662 0.0000
Ce4 Ce 0.6662 0.3338 0.0000
Ce5 Ce 0.6662 0.6662 0.3325
Th1 Th 0.0000 0.3271 0.3271
Th2 Th 0.0000 0.6729 0.6729
Th3 Th 0.3271 0.0000 0.3271
Th4 Th 0.6729 0.0000 0.6729
# total moment = 0.5 μB/cell
# DOS at the Fermi energy = 26.34 states/eV/f.u.

---

Order from most stable to least stable according to the calculation: run a, run b

---

Run a
# CeThTl | Alexandria | PBE | relaxed
data_CeThTl
_symmetry_space_group_name_H-M 'P 1'
_symmetry_Int_Tables_number 1
_symmetry_space_group_name_Hall 'P 1'
_cell_length_a 6.1469
_cell_length_b 6.1469
_cell_length_c 8.9271
_cell_angle_alpha 110.01
_cell_angle_beta 110.01
_cell_angle_gamma 34.13
loop_
_atom_site_label
_atom_site_type_symbol
_atom_site_fract_x
_atom_site_fract_y
_atom_site_fract_z
Ce1 Ce 0.0186 0.0186 0.2632
Ce2 Ce 0.9814 0.9814 0.7368
Th1 Th 0.3223 0.3223 0.3830
Th2 Th 0.6777 0.6777 0.6170
Tl1 Tl 0.3422 0.3422 0.9502
Tl2 Tl 0.6578 0.6578 0.0498
# total moment = 1.2 μB/cell
# DOS at the Fermi energy = 6.54 states/eV/f.u.

---

Run b
# CeThTl | Alexandria | PBE | relaxed
data_CeThTl
_symmetry_space_group_name_H-M 'P 1'
_symmetry_Int_Tables_number 1
_symmetry_space_group_name_Hall 'P 1'
_cell_length_a 5.4394
_cell_length_b 5.4394
_cell_length_c 3.2692
_cell_angle_alpha 90.00
_cell_angle_beta 90.00
_cell_angle_gamma 120.00
loop_
_atom_site_label
_atom_site_type_symbol
_atom_site_fract_x
_atom_site_fract_y
_atom_site_fract_z
Ce1 Ce 0.0000 0.0000 0.0000
Th1 Th 0.3333 0.6667 0.0000
Tl1 Tl 0.6667 0.3333 0.5000
# total moment = 0.8 μB/cell
# DOS at the Fermi energy = 6.64 states/eV/f.u.

---

Run c
# CeThTl | Alexandria | PBE | relaxed
data_CeThTl
_symmetry_space_group_name_H-M 'P 1'
_symmetry_Int_Tables_number 1
_symmetry_space_group_name_Hall 'P 1'
_cell_length_a 5.7822
_cell_length_b 5.7822
_cell_length_c 5.7822
_cell_angle_alpha 137.14
_cell_angle_beta 137.14
_cell_angle_gamma 62.23
loop_
_atom_site_label
_atom_site_type_symbol
_atom_site_fract_x
_atom_site_fract_y
_atom_site_fract_z
Ce1 Ce 0.0000 0.0000 0.0000
Th1 Th 0.6977 0.6977 0.0000
Tl1 Tl 0.3503 0.3503 0.0000
# total moment = 0.5 μB/cell
# DOS at the Fermi energy = 6.27 states/eV/f.u.

---

Order from most stable to least stable according to the calculation: run c, run a, run b

---

Run a
# Ce2ThTl2 | Alexandria | PBE | relaxed
data_Ce2ThTl2
_symmetry_space_group_name_H-M 'P 1'
_symmetry_Int_Tables_number 1
_symmetry_space_group_name_Hall 'P 1'
_cell_length_a 7.9638
_cell_length_b 7.9638
_cell_length_c 5.2234
_cell_angle_alpha 103.18
_cell_angle_beta 103.18
_cell_angle_gamma 26.94
loop_
_atom_site_label
_atom_site_type_symbol
_atom_site_fract_x
_atom_site_fract_y
_atom_site_fract_z
Ce1 Ce 0.2270 0.2270 0.1621
Ce2 Ce 0.7730 0.7730 0.8379
Th1 Th 0.5000 0.5000 0.0000
Tl1 Tl 0.0982 0.0982 0.5666
Tl2 Tl 0.9018 0.9018 0.4334
# total moment = 0.8 μB/cell
# DOS at the Fermi energy = 10.03 states/eV/f.u.

---

Run b
# Ce2ThTl2 | Alexandria | PBE | relaxed
data_Ce2ThTl2
_symmetry_space_group_name_H-M 'P 1'
_symmetry_Int_Tables_number 1
_symmetry_space_group_name_Hall 'P 1'
_cell_length_a 6.4032
_cell_length_b 6.4032
_cell_length_c 11.1875
_cell_angle_alpha 90.47
_cell_angle_beta 90.47
_cell_angle_gamma 39.71
loop_
_atom_site_label
_atom_site_type_symbol
_atom_site_fract_x
_atom_site_fract_y
_atom_site_fract_z
Ce1 Ce 0.0549 0.0549 0.1851
Ce2 Ce 0.1443 0.1443 0.4116
Ce3 Ce 0.8557 0.8557 0.5884
Ce4 Ce 0.9451 0.9451 0.8149
Th1 Th 0.2103 0.2103 0.7720
Th2 Th 0.7897 0.7897 0.2280
Tl1 Tl 0.3680 0.3680 0.0267
Tl2 Tl 0.4338 0.4338 0.3792
Tl3 Tl 0.5662 0.5662 0.6208
Tl4 Tl 0.6320 0.6320 0.9733
# total moment = 1.9 μB/cell
# DOS at the Fermi energy = 9.29 states/eV/f.u.

---

Order from most stable to least stable according to the calculation: run b, run a

---

Run a
# CeTmTh6 | Alexandria | PBE | relaxed
data_CeTmTh6
_symmetry_space_group_name_H-M 'P 1'
_symmetry_Int_Tables_number 1
_symmetry_space_group_name_Hall 'P 1'
_cell_length_a 8.2353
_cell_length_b 8.2353
_cell_length_c 8.2353
_cell_angle_alpha 137.47
_cell_angle_beta 137.47
_cell_angle_gamma 61.72
loop_
_atom_site_label
_atom_site_type_symbol
_atom_site_fract_x
_atom_site_fract_y
_atom_site_fract_z
Ce1 Ce 0.0000 0.0000 0.0000
Tm1 Tm 0.5000 0.5000 0.0000
Th1 Th 0.1245 0.6245 0.5000
Th2 Th 0.2447 0.2447 0.0000
Th3 Th 0.3755 0.8755 0.5000
Th4 Th 0.6245 0.1245 0.5000
Th5 Th 0.7553 0.7553 0.0000
Th6 Th 0.8755 0.3755 0.5000
# total moment = 0.0 μB/cell
# DOS at the Fermi energy = 15.56 states/eV/f.u.

---

Run b
# CeTmTh6 | Alexandria | PBE | relaxed
data_CeTmTh6
_symmetry_space_group_name_H-M 'P 1'
_symmetry_Int_Tables_number 1
_symmetry_space_group_name_Hall 'P 1'
_cell_length_a 5.0019
_cell_length_b 5.0019
_cell_length_c 10.0328
_cell_angle_alpha 90.00
_cell_angle_beta 90.00
_cell_angle_gamma 90.00
loop_
_atom_site_label
_atom_site_type_symbol
_atom_site_fract_x
_atom_site_fract_y
_atom_site_fract_z
Ce1 Ce 0.0000 0.0000 0.0000
Tm1 Tm 0.0000 0.0000 0.5000
Th1 Th 0.0000 0.5000 0.2473
Th2 Th 0.0000 0.5000 0.7527
Th3 Th 0.5000 0.0000 0.2473
Th4 Th 0.5000 0.0000 0.7527
Th5 Th 0.5000 0.5000 0.0000
Th6 Th 0.5000 0.5000 0.5000
# total moment = 0.0 μB/cell
# DOS at the Fermi energy = 14.58 states/eV/f.u.

---

Order from most stable to least stable according to the calculation: run b, run a